# 1
A plane-wave DFT calculation with PBE was carried out for an optimized crystal structure of Sr3Ge5Se12.

Summary:
The energy relative to the elements, uncorrected is -0.731 eV/atom. The symmetry is Ia-3d. Its raw total energy is -4.228 eV/atom.

Geometry as POSCAR:
```
Sr3Ge5Se12
1.0
-8.217 8.217 8.217
8.217 -8.217 8.217
8.217 8.217 -8.217
Sr Ge Se
12 20 48
direct
0.125 0.250 0.375
0.125 0.375 0.750
0.250 0.375 0.125
0.250 0.875 0.625
0.375 0.125 0.250
0.375 0.750 0.125
0.625 0.250 0.875
0.625 0.875 0.750
0.750 0.125 0.375
0.750 0.625 0.875
0.875 0.625 0.250
0.875 0.750 0.625
0.000 0.000 0.000
0.000 0.000 0.500
0.000 0.500 0.000
0.000 0.500 0.500
0.125 0.750 0.875
0.125 0.875 0.250
0.250 0.125 0.875
0.250 0.625 0.375
0.375 0.250 0.625
0.375 0.625 0.750
0.500 0.000 0.000
0.500 0.000 0.500
0.500 0.500 0.000
0.500 0.500 0.500
0.625 0.375 0.250
0.625 0.750 0.375
0.750 0.375 0.625
0.750 0.875 0.125
0.875 0.125 0.750
0.875 0.250 0.125
0.026 0.208 0.120
0.026 0.318 0.906
0.088 0.708 0.682
0.088 0.880 0.406
0.094 0.620 0.412
0.094 0.974 0.682
0.120 0.026 0.208
0.120 0.594 0.912
0.182 0.208 0.588
0.182 0.474 0.594
0.208 0.120 0.026
0.208 0.588 0.182
0.292 0.318 0.912
0.292 0.474 0.380
0.318 0.906 0.026
0.318 0.912 0.292
0.380 0.292 0.474
0.380 0.588 0.906
0.406 0.088 0.880
0.406 0.818 0.526
0.412 0.094 0.620
0.412 0.818 0.792
0.474 0.380 0.292
0.474 0.594 0.182
0.526 0.406 0.818
0.526 0.620 0.708
0.588 0.182 0.208
0.588 0.906 0.380
0.594 0.182 0.474
0.594 0.912 0.120
0.620 0.412 0.094
0.620 0.708 0.526
0.682 0.088 0.708
0.682 0.094 0.974
0.708 0.526 0.620
0.708 0.682 0.088
0.792 0.412 0.818
0.792 0.880 0.974
0.818 0.526 0.406
0.818 0.792 0.412
0.880 0.406 0.088
0.880 0.974 0.792
0.906 0.026 0.318
0.906 0.380 0.588
0.912 0.120 0.594
0.912 0.292 0.318
0.974 0.682 0.094
0.974 0.792 0.880
```

=====

# 2
A plane-wave DFT calculation with PBE was carried out for an optimized crystal structure of La6NdSm4.

Summary:
The symmetry is I-42m. The energy above the lowest structure with this stoichiometry comes out at 1.901 eV per formula unit. Its raw total energy is -4.570 eV/atom. For the energy relative to the elements, the calculation gives 0.2676 eV per atom.

Geometry as POSCAR:
```
La6NdSm4
1.0
-3.554 3.554 7.979
3.554 -3.554 7.979
3.554 3.554 -7.979
La Nd Sm
6 1 4
direct
0.000 0.500 0.500
0.009 0.627 0.000
0.373 0.373 0.382
0.500 0.000 0.500
0.627 0.009 0.000
0.991 0.991 0.618
0.000 0.000 0.000
0.230 0.230 0.666
0.436 0.770 0.000
0.564 0.564 0.334
0.770 0.436 0.000
```

=====

# 3
A plane-wave DFT calculation with PBE was carried out for an optimized crystal structure of YSi2NiIr2.

Summary:
The energy relative to the elements, uncorrected is -0.437 eV/atom. The symmetry is P4/mmm. Its raw total energy is -7.240 eV/atom.

Geometry as POSCAR:
```
YSi2NiIr2
1.0
4.280 0.000 0.000
0.000 4.280 0.000
0.000 0.000 5.436
Y Si Ni Ir
1 2 1 2
direct
0.000 0.000 0.000
0.000 0.500 0.500
0.500 0.000 0.500
0.000 0.000 0.500
0.500 0.500 0.240
0.500 0.500 0.760
```

=====

# 4
A plane-wave DFT calculation with PBE was carried out for an optimized crystal structure of Tb2Y2Co.

Summary:
The symmetry is C2/m. Its raw total energy is -5.919 eV/atom. For the energy relative to the elements, the calculation gives -0.0598 eV per atom.

Geometry as POSCAR:
```
Tb2Y2Co
1.0
3.706 -5.802 0.000
3.706 5.802 0.000
-2.821 0.000 6.529
Tb Y Co
4 4 2
direct
0.183 0.728 0.743
0.272 0.817 0.257
0.728 0.183 0.743
0.817 0.272 0.257
0.243 0.243 0.597
0.273 0.273 0.109
0.727 0.727 0.891
0.757 0.757 0.403
0.379 0.621 0.500
0.621 0.379 0.500
```

=====

# 5
A plane-wave DFT calculation with PBE was carried out for an optimized crystal structure of Rb2YTaCl.

Summary:
The energy relative to the elements, uncorrected is 1.153 eV/atom. The symmetry is P4/mmm. Its raw total energy is -3.266 eV/atom.

Geometry as POSCAR:
```
Rb2YTaCl
1.0
7.595 0.000 0.000
0.000 7.595 0.000
0.000 0.000 5.083
Rb Y Ta Cl
2 1 1 1
direct
0.000 0.500 0.000
0.500 0.000 0.000
0.000 0.000 0.000
0.500 0.500 0.500
0.000 0.000 0.500
```

=====

# 6
A plane-wave DFT calculation with PBE was carried out for an optimized crystal structure of LaSnAsBr2.

Summary:
The energy relative to the elements, uncorrected is -0.560 eV/atom. The symmetry is P4/mmm. The energy above the lowest structure with this stoichiometry comes out at 0.000 eV per formula unit. Its raw total energy is -3.945 eV/atom.

Geometry as POSCAR:
```
LaSnAsBr2
1.0
5.693 0.000 0.000
0.000 5.693 0.000
0.000 0.000 5.969
La Sn As Br
1 1 1 2
direct
0.000 0.000 0.000
0.500 0.500 0.500
0.000 0.000 0.500
0.000 0.500 0.000
0.500 0.000 0.000
```

=====

# 7
A plane-wave DFT calculation with PBE was carried out for an optimized crystal structure of Al4GaSn.

Summary:
The symmetry is F-43m. Its raw total energy is -3.520 eV/atom. For the energy relative to the elements, the calculation gives 0.1468 eV per atom.

Geometry as POSCAR:
```
Al4GaSn
1.0
0.000 3.893 3.893
3.893 0.000 3.893
3.893 3.893 0.000
Al Ga Sn
4 1 1
direct
0.125 0.125 0.125
0.125 0.125 0.624
0.125 0.624 0.125
0.624 0.125 0.125
0.500 0.500 0.500
0.750 0.750 0.750
```

=====

# 8
A plane-wave DFT calculation with PBE was carried out for an optimized crystal structure of AcPr8Sm5.

Summary:
The symmetry is P1. Its raw total energy is -4.667 eV/atom. For the energy relative to the elements, the calculation gives 0.0431 eV per atom.

Geometry as POSCAR:
```
AcPr8Sm5
1.0
7.282 0.000 0.000
-1.816 8.651 0.000
-1.817 -4.213 7.989
Ac Pr Sm
1 8 5
direct
0.000 0.000 0.000
0.181 0.295 0.432
0.209 0.123 0.706
0.298 0.881 0.292
0.401 0.443 0.155
0.601 0.564 0.843
0.707 0.126 0.707
0.821 0.712 0.566
0.901 0.448 0.156
0.103 0.561 0.842
0.324 0.717 0.575
0.501 0.003 0.001
0.680 0.291 0.426
0.791 0.883 0.292
```

=====

# 9
A plane-wave DFT calculation with PBE was carried out for an optimized crystal structure of CuHg2As.

Summary:
The symmetry is I4/mmm. Its raw total energy is -1.976 eV/atom. For the energy relative to the elements, the calculation gives 0.3611 eV per atom.

Geometry as POSCAR:
```
CuHg2As
1.0
4.318 0.000 0.000
0.000 4.318 0.000
0.000 0.000 8.504
Cu Hg As
2 4 2
direct
0.000 0.000 0.000
0.500 0.500 0.500
0.000 0.500 0.250
0.000 0.500 0.750
0.500 0.000 0.250
0.500 0.000 0.750
0.000 0.000 0.500
0.500 0.500 0.000
```

=====

# 10
A plane-wave DFT calculation with PBE was carried out for an optimized crystal structure of Ac6GePb2.

Summary:
The symmetry is P2_1/c. Its raw total energy is -4.482 eV/atom. For the energy relative to the elements, the calculation gives -0.4056 eV per atom.

Geometry as POSCAR:
```
Ac6GePb2
1.0
6.959 0.000 0.000
0.000 9.296 0.000
-6.813 0.000 11.077
Ac Ge Pb
12 2 4
direct
0.073 0.173 0.444
0.073 0.327 0.944
0.319 0.681 0.443
0.319 0.819 0.943
0.351 0.033 0.233
0.351 0.467 0.733
0.649 0.533 0.267
0.649 0.967 0.767
0.681 0.181 0.057
0.681 0.319 0.557
0.927 0.673 0.056
0.927 0.827 0.556
0.500 0.000 0.500
0.500 0.500 0.000
0.174 0.120 0.753
0.174 0.380 0.253
0.826 0.620 0.747
0.826 0.880 0.247
```

=====

# 11
A plane-wave DFT calculation with PBE was carried out for an optimized crystal structure of PrMg2Al6.

Summary:
The symmetry is C2/m. Its raw total energy is -3.489 eV/atom. For the energy relative to the elements, the calculation gives -0.1081 eV per atom.

Geometry as POSCAR:
```
PrMg2Al6
1.0
6.936 -4.005 0.000
6.936 4.005 0.000
-0.005 0.000 3.349
Pr Mg Al
1 2 6
direct
0.000 0.000 0.000
0.333 0.333 0.000
0.667 0.667 0.000
0.000 0.339 0.500
0.000 0.661 0.500
0.339 0.000 0.500
0.339 0.661 0.500
0.661 0.000 0.500
0.661 0.339 0.500
```

=====

# 12
A plane-wave DFT calculation with PBE was carried out for an optimized crystal structure of KTi2BO6.

Summary:
The energy relative to the elements, uncorrected is -2.706 eV/atom. The symmetry is C2/c. Its raw total energy is -8.038 eV/atom.

Geometry as POSCAR:
```
KTi2BO6
1.0
4.414 -5.618 0.000
4.414 5.618 0.000
-2.249 0.000 5.496
K Ti B O
2 4 2 12
direct
0.103 0.897 0.750
0.897 0.103 0.250
0.262 0.440 0.862
0.440 0.262 0.362
0.560 0.738 0.638
0.738 0.560 0.138
0.204 0.796 0.250
0.796 0.204 0.750
0.010 0.258 0.745
0.219 0.664 0.027
0.258 0.010 0.245
0.325 0.407 0.557
0.336 0.781 0.473
0.407 0.325 0.057
0.593 0.675 0.943
0.664 0.219 0.527
0.675 0.593 0.443
0.742 0.990 0.755
0.781 0.336 0.973
0.990 0.742 0.255
```

=====

# 13
A plane-wave DFT calculation with PBE was carried out for an optimized crystal structure of SiTeMo.

Summary:
The energy relative to the elements, uncorrected is 0.445 eV/atom. The symmetry is P-6m2. The energy above the lowest structure with this stoichiometry comes out at 1.092 eV per formula unit. Its raw total energy is -6.020 eV/atom.

Geometry as POSCAR:
```
SiTeMo
1.0
4.393 0.000 0.000
-2.197 3.805 0.000
0.000 0.000 3.395
Si Te Mo
1 1 1
direct
0.000 0.000 0.000
0.333 0.667 0.500
0.667 0.333 0.000
```

=====

# 14
A plane-wave DFT calculation with PBE was carried out for an optimized crystal structure of MnHW2.

Summary:
The symmetry is Fm-3m. The energy above the lowest structure with this stoichiometry comes out at 0.979 eV per formula unit. Its raw total energy is -8.872 eV/atom.

Geometry as POSCAR:
```
MnHW2
1.0
5.813 0.000 0.000
0.000 5.813 0.000
0.000 0.000 5.813
Mn H W
4 4 8
direct
0.000 0.000 0.000
0.000 0.500 0.500
0.500 0.000 0.500
0.500 0.500 0.000
0.000 0.000 0.500
0.000 0.500 0.000
0.500 0.000 0.000
0.500 0.500 0.500
0.250 0.250 0.250
0.250 0.250 0.750
0.250 0.750 0.250
0.250 0.750 0.750
0.750 0.250 0.250
0.750 0.250 0.750
0.750 0.750 0.250
0.750 0.750 0.750
```

=====

# 15
A plane-wave DFT calculation with PBE was carried out for an optimized crystal structure of NiHgW2.

Summary:
The symmetry is Pmm2. Its raw total energy is -7.510 eV/atom. For the energy relative to the elements, the calculation gives 0.4878 eV per atom.

Geometry as POSCAR:
```
NiHgW2
1.0
2.738 0.000 0.000
0.000 3.971 0.000
0.000 0.000 5.936
Ni Hg W
1 1 2
direct
0.000 0.000 0.000
0.500 0.500 0.748
0.000 0.000 0.457
0.500 0.500 0.222
```

=====

# 16
A plane-wave DFT calculation with PBE was carried out for an optimized crystal structure of GaSbTe2Os.

Summary:
The energy relative to the elements, uncorrected is 0.628 eV/atom. The symmetry is P4/mmm. The energy above the lowest structure with this stoichiometry comes out at 0.000 eV per formula unit. Its raw total energy is -4.305 eV/atom.

Geometry as POSCAR:
```
GaSbTe2Os
1.0
5.459 0.000 0.000
0.000 5.459 0.000
0.000 0.000 5.007
Ga Sb Te Os
1 1 2 1
direct
0.000 0.000 0.000
0.500 0.500 0.000
0.000 0.500 0.500
0.500 0.000 0.500
0.500 0.500 0.500
```

=====

# 17
A plane-wave DFT calculation with PBE was carried out for an optimized crystal structure of Ac2Cd3Sn.

Summary:
The symmetry is Fmmm. The energy above the lowest structure with this stoichiometry comes out at 0.000 eV per formula unit. Its raw total energy is -2.944 eV/atom. For the energy relative to the elements, the calculation gives -0.4494 eV per atom.

Geometry as POSCAR:
```
Ac2Cd3Sn
1.0
0.000 5.074 8.782
4.103 0.000 8.782
4.103 5.074 0.000
Ac Cd Sn
4 6 2
direct
0.246 0.754 0.754
0.250 0.250 0.250
0.750 0.750 0.750
0.754 0.246 0.246
0.165 0.165 0.835
0.168 0.668 0.332
0.332 0.832 0.168
0.668 0.168 0.832
0.832 0.332 0.668
0.835 0.835 0.165
0.334 0.334 0.666
0.666 0.666 0.334
```

=====

# 18
A plane-wave DFT calculation with PBE was carried out for an optimized crystal structure of Pm5Pr4Er.

Summary:
The symmetry is C2/m. The energy above the lowest structure with this stoichiometry comes out at 0.000 eV per formula unit. Its raw total energy is -4.573 eV/atom. For the energy relative to the elements, the calculation gives 0.1708 eV per atom.

Geometry as POSCAR:
```
Pm5Pr4Er
1.0
8.794 -1.806 0.000
8.794 1.806 0.000
-0.074 0.000 11.331
Pm Pr Er
5 4 1
direct
0.000 0.000 0.000
0.326 0.326 0.056
0.328 0.328 0.448
0.672 0.672 0.552
0.674 0.674 0.944
0.155 0.155 0.249
0.471 0.471 0.252
0.529 0.529 0.748
0.845 0.845 0.751
0.000 0.000 0.500
```

=====

# 19
A plane-wave DFT calculation with PBE was carried out for an optimized crystal structure of Y4Mg5.

Summary:
The symmetry is P6_3/mcm. The energy above the lowest structure with this stoichiometry comes out at 0.317 eV per formula unit. Its raw total energy is -3.775 eV/atom. For the energy relative to the elements, the calculation gives -0.0161 eV per atom.

Geometry as POSCAR:
```
Y4Mg5
1.0
9.358 0.000 0.000
-4.679 8.104 0.000
0.000 0.000 6.525
Y Mg
8 10
direct
0.000 0.000 0.000
0.000 0.000 0.500
0.000 0.350 0.250
0.000 0.650 0.750
0.350 0.000 0.250
0.350 0.350 0.750
0.650 0.000 0.750
0.650 0.650 0.250
0.000 0.321 0.750
0.000 0.679 0.250
0.321 0.000 0.750
0.321 0.321 0.250
0.333 0.667 0.000
0.333 0.667 0.500
0.667 0.333 0.000
0.667 0.333 0.500
0.679 0.000 0.250
0.679 0.679 0.750
```

=====

# 20
A plane-wave DFT calculation with PBE was carried out for an optimized crystal structure of Ce2BeCo3.

Summary:
The symmetry is R-3m. Its raw total energy is -6.409 eV/atom. For the energy relative to the elements, the calculation gives -0.2566 eV per atom.

Geometry as POSCAR:
```
Ce2BeCo3
1.0
2.627 1.517 3.633
-2.627 1.517 3.633
0.000 -3.033 3.633
Ce Be Co
2 1 3
direct
0.135 0.135 0.135
0.865 0.865 0.865
0.500 0.500 0.500
0.000 0.500 0.500
0.500 0.000 0.500
0.500 0.500 0.000
```